(1)
Material: KAlSb
Method: DFT, PBE-GGA
State: optimized geometry

abc: 7.4561 7.4561 7.4561
angles: 90.00 90.00 90.00
Space group F-43m (No. 216)
Inequivalent atoms, fractional coordinates:
K 0.0000 0.0000 0.0000 x4
Al 0.2500 0.2500 0.2500 x4
Sb 0.2500 0.2500 0.7500 x4

## Properties
relative energy among the computed polymorphs	835	meV per atom
total magnetization	0.0	μB/cell

(2)
Material: Sr5GeN4Cl2
Method: DFT, PBE-GGA
State: optimized geometry

abc: 8.3804 9.5572 6.2875
angles: 90.00 90.00 90.00
Space group Amm2 (No. 38)
Inequivalent atoms, fractional coordinates:
Sr 0.0000 0.0000 0.0000 x2
Sr 0.3084 0.1899 0.3846 x8
Ge 0.5000 0.0000 0.8960 x2
N 0.3026 0.0000 0.0765 x4
N 0.5000 0.1578 0.7037 x4
Cl 0.0000 0.1908 0.6378 x4

## Properties
total magnetization	0.0	μB/cell

no.,E_form (uncorrected) (eV per atom)
1,0.591
2,-0.965